Record 1
A crystal of TlHSeBr2 relaxed with PBEsol, computed with SCAN.

Calculated values
- Calculated total energy: -26.92 eV per atom

a b c (Å): 5.5460 5.5460 3.5541
angles (deg): 90.00 90.00 90.00
Closest atoms and distances in Å follow each position.
Space group P4/mmm (No. 123)
Unique sites:
1 Tl 0.0000 0.0000 0.0000 x1  8 Br 3.29, 2 Tl 3.55
2 H 0.5000 0.5000 0.5000 x1  2 Se 1.78
3 Se 0.5000 0.5000 0.0000 x1  2 H 1.78
4 Br 0.0000 0.5000 0.5000 x2  2 H 2.77


Record 2
A crystal of Sr7H12Br2 relaxed with PBEsol, computed with SCAN.

Calculated values
- Calculated total energy: -12.18 eV per atom

a b c (Å): 9.8430 9.8430 3.9479
angles (deg): 90.00 90.00 120.00
Closest atoms and distances in Å follow each position.
Space group P-6 (No. 174)
Unique sites:
1 Sr 0.0000 0.0000 0.0000 x1  3 H 2.36
2 Sr 0.1001 0.4077 0.0000 x3  5 H 2.37-2.50
3 Sr 0.3929 0.2829 0.5000 x3  7 H 2.43-2.57
4 H 0.0618 0.6383 0.0000 x3  4 Sr 2.48-2.52, 1 H 2.64
5 H 0.1043 0.2134 0.5000 x3  5 Sr 2.57-2.76, 3 H 2.82-2.83
6 H 0.2758 0.1231 0.0000 x3  4 Sr 2.36-2.43, 1 H 2.64
7 H 0.4406 0.0517 0.5000 x3  4 Sr 2.43-2.54
8 Br 0.3333 0.6667 0.5000 x1  6 Sr 3.13, 9 H 3.22-3.39
9 Br 0.6667 0.3333 0.0000 x1  6 Sr 3.17, 12 H 3.22-3.53


Record 3
A crystal of SrHBr relaxed with PBEsol, computed with SCAN.

Calculated values
- Calculated total energy: -16.65 eV per atom

a b c (Å): 4.1745 4.1745 7.1260
angles (deg): 90.00 90.00 90.00
Closest atoms and distances in Å follow each position.
Space group P4/nmm (No. 129, origin choice 2)
Unique sites:
1 Sr 0.2500 0.2500 0.1877 x2  4 H 2.48
2 H 0.2500 0.7500 0.0000 x2  4 Sr 2.48
3 Br 0.2500 0.2500 0.6527 x2  5 Sr 3.16-3.31, 4 H 3.24


Record 4
A crystal of TaHBr2 relaxed with PBEsol, computed with SCAN.

Calculated values
- Calculated total energy: -26.47 eV per atom

a b c (Å): 5.4845 5.4845 9.3780
angles (deg): 90.00 90.00 90.00
Closest atoms and distances in Å follow each position.
Space group I-42d (No. 122)
Unique sites:
1 Ta 0.0000 0.0000 0.0000 x4  4 Br 2.52
2 H 0.0000 0.0000 0.5000 x4  4 Br 2.06
3 Br 0.1797 0.7500 0.6250 x8  2 H 2.06


Record 5
A crystal of TaH2Br relaxed with PBEsol, computed with SCAN.

Calculated values
- Distance to the lowest polymorph of the same formula: 0.000 eV/atom

a b c (Å): 5.8571 5.8571 5.4649
angles (deg): 90.00 90.00 90.00
Closest atoms and distances in Å follow each position.
Space group I-42d (No. 122)
Unique sites:
1 Ta 0.0000 0.0000 0.0000 x4  4 H 1.84
2 H 0.1513 0.2500 0.1250 x8  2 Ta 1.84
3 Br 0.0000 0.0000 0.5000 x4  8 H 2.60-2.67, 2 Ta 2.73


Record 6
A crystal of TaH2Br relaxed with PBEsol, computed with SCAN.

Calculated values
- Distance to the lowest polymorph of the same formula: 1.008 eV/atom

a b c (Å): 5.5755 5.5755 5.5755
angles (deg): 90.00 90.00 90.00
Closest atoms and distances in Å follow each position.
Space group Fm-3m (No. 225)
Unique sites:
1 Ta 0.0000 0.0000 0.0000 x4  8 H 2.41
2 H 0.2500 0.2500 0.2500 x8  4 Br 2.41, 4 Ta 2.41
3 Br 0.0000 0.0000 0.5000 x4  8 H 2.41


Record 7
A crystal of TeH2Br relaxed with PBEsol, computed with SCAN.

Calculated values
- Calculated total energy: -15.61 eV per atom

a b c (Å): 4.6886 4.6886 12.1260
angles (deg): 90.00 90.00 90.00
Closest atoms and distances in Å follow each position.
Space group I4_1/amd (No. 141, origin choice 2)
Unique sites:
1 Te 0.0000 0.2500 0.3750 x4  4 H 1.92
2 H 0.0000 0.0000 0.5000 x8  2 Te 1.92
3 Br 0.0000 0.2500 0.8750 x4  8 H 3.03, 4 Te 3.32


Record 8
A crystal of TlHBr3 relaxed with PBEsol, computed with SCAN.

Calculated values
- Calculated total energy: -26.62 eV per atom

a b c (Å): 5.4870 5.4870 5.4870
angles (deg): 90.00 90.00 90.00
Closest atoms and distances in Å follow each position.
Space group Pm-3m (No. 221)
Unique sites:
1 Tl 0.0000 0.0000 0.0000 x1  6 Br 2.74
2 H 0.5000 0.5000 0.5000 x1  12 Br 3.88
3 Br 0.0000 0.0000 0.5000 x3  2 Tl 2.74


Record 9
A crystal of TlHBr2 relaxed with PBEsol, computed with SCAN.

Calculated values
- Calculated total energy: -28.30 eV per atom

a b c (Å): 3.3910 3.3910 26.1903
angles (deg): 90.00 90.00 120.00
Closest atoms and distances in Å follow each position.
Space group R-3m (No. 166, hexagonal axes)
Unique sites:
1 Tl 0.0000 0.0000 0.0000 x3  2 Br 3.01
2 H 0.0000 0.0000 0.5000 x3  6 Br 2.38
3 Br 0.0000 0.0000 0.1151 x6  3 H 2.38


Record 10
A crystal of ZnHBr2 relaxed with PBEsol, computed with SCAN.

Calculated values
- Calculated total energy: -13.67 eV per atom

a b c (Å): 6.6104 6.6104 6.6104
angles (deg): 90.00 90.00 90.00
Closest atoms and distances in Å follow each position.
Space group Fm-3m (No. 225)
Unique sites:
1 Zn 0.0000 0.0000 0.0000 x4  8 Br 2.86
2 H 0.0000 0.0000 0.5000 x4  8 Br 2.86
3 Br 0.2500 0.2500 0.2500 x8  4 H 2.86, 4 Zn 2.86


Record 11
A crystal of Zn3HBr relaxed with PBEsol, computed with SCAN.

Calculated values
- Calculated total energy: -11.48 eV per atom

a b c (Å): 5.3339 5.3339 5.3339
angles (deg): 90.00 90.00 90.00
Closest atoms and distances in Å follow each position.
Space group Pm-3m (No. 221)
Unique sites:
1 Zn 0.0000 0.0000 0.5000 x3  2 Br 2.67
2 H 0.5000 0.5000 0.5000 x1  12 Zn 3.77
3 Br 0.0000 0.0000 0.0000 x1  6 Zn 2.67


Record 12
A crystal of HfBr4 relaxed with PBEsol, computed with SCAN.

Calculated values
- Calculated total energy: -29.56 eV per atom

a b c (Å): 11.5794 11.5794 11.5794
angles (deg): 90.00 90.00 90.00
Closest atoms and distances in Å follow each position.
Space group Pa-3 (No. 205)
Unique sites:
1 Hf 0.1292 0.1292 0.1292 x8  4 Br 2.44
2 Br 0.0042 0.2500 0.0106 x24  1 Hf 2.44
3 Br 0.2493 0.7493 0.7507 x8  1 Hf 2.44


Number 1: density of states at the Fermi level 0.38 states/eV/atom. Number 2: density of states at the Fermi level 0.00 states/eV/atom. Number 3: density of states at the Fermi level 0.00 states/eV/atom. Number 4: density of states at the Fermi level 0.59 states/eV/atom. Number 5: density of states at the Fermi level 0.24 states/eV/atom. Number 6: density of states at the Fermi level 0.57 states/eV/atom. Number 7: density of states at the Fermi level 0.31 states/eV/atom. Number 8: density of states at the Fermi level 0.91 states/eV/atom. Number 9: density of states at the Fermi level 0.49 states/eV/atom. Number 10: density of states at the Fermi level 0.10 states/eV/atom. Number 11: density of states at the Fermi level 0.38 states/eV/atom. Number 12: density of states at the Fermi level 0.00 states/eV/atom.